(1)
VASP calculation (PBE) on a relaxed structure of V2GaWAu.

```
data_V2GaWAu
_chemical_formula_sum 'V2 Ga1 W1 Au1'
_cell_length_a 4.4367
_cell_length_b 4.4367
_cell_length_c 4.6111
_cell_angle_alpha 90.00
_cell_angle_beta 90.00
_cell_angle_gamma 90.00
_space_group_name_H-M_alt 'P 4/m m m'
_space_group_IT_number 123
_space_group_name_Hall '-P 4 2'
loop_
_atom_site_label
_atom_site_fract_x
_atom_site_fract_y
_atom_site_fract_z
_atom_site_occupancy
V1 0.0000 0.5000 0.0000 1
Ga1 0.0000 0.0000 0.0000 1
W1 0.0000 0.0000 0.5000 1
Au1 0.5000 0.5000 0.5000 1
```

- DFT total energy (eV per cell) = -31.000
- energy of formation from the pure elements (eV/f.u.) = 6.49

(2)
VASP calculation (PBE) on a relaxed structure of FeMoAs2Br.

```
data_FeMoAs2Br
_chemical_formula_sum 'Fe1 Mo1 As2 Br1'
_cell_length_a 4.4802
_cell_length_b 4.4802
_cell_length_c 5.1813
_cell_angle_alpha 90.00
_cell_angle_beta 90.00
_cell_angle_gamma 90.00
_space_group_name_H-M_alt 'P 4/m m m'
_space_group_IT_number 123
_space_group_name_Hall '-P 4 2'
loop_
_atom_site_label
_atom_site_fract_x
_atom_site_fract_y
_atom_site_fract_z
_atom_site_occupancy
Fe1 0.0000 0.0000 0.0000 1
Mo1 0.5000 0.5000 0.5000 1
As1 0.0000 0.5000 0.0000 1
Br1 0.0000 0.0000 0.5000 1
```

- DFT total energy (eV per cell) = -25.772
- energy relative to the lowest polymorph listed for this composition (eV per atom) = 0.0382
- formation energy from raw total energies (eV/atom) = 0.8987

(3)
VASP calculation (PBE) on a relaxed structure of SbMo3Ru.

```
data_SbMo3Ru
_chemical_formula_sum 'Sb1 Mo3 Ru1'
_cell_length_a 4.7348
_cell_length_b 4.7348
_cell_length_c 4.7348
_cell_angle_alpha 90.00
_cell_angle_beta 90.00
_cell_angle_gamma 90.00
_space_group_name_H-M_alt 'P m -3 m'
_space_group_IT_number 221
_space_group_name_Hall '-P 4 2 3'
loop_
_atom_site_label
_atom_site_fract_x
_atom_site_fract_y
_atom_site_fract_z
_atom_site_occupancy
Sb1 0.0000 0.0000 0.0000 1
Mo1 0.0000 0.5000 0.5000 1
Ru1 0.5000 0.5000 0.5000 1
```

- DFT total energy (eV per cell) = -38.836
- energy relative to the lowest polymorph listed for this composition (eV per atom) = 0.0000
- formation energy from raw total energies (eV/atom) = 1.4112

(4)
VASP calculation (PBE) on a relaxed structure of Pm2Sm2Dy4Er.

```
data_Pm2Sm2Dy4Er
_chemical_formula_sum 'Pm4 Sm4 Dy8 Er2'
_cell_length_a 18.7486
_cell_length_b 3.6116
_cell_length_c 9.6072
_cell_angle_alpha 90.00
_cell_angle_beta 115.72
_cell_angle_gamma 90.00
_space_group_name_H-M_alt 'C 1 2/m 1'
_space_group_IT_number 12
_space_group_name_Hall '-C 2y'
loop_
_atom_site_label
_atom_site_fract_x
_atom_site_fract_y
_atom_site_fract_z
_atom_site_occupancy
Pm1 0.1653 0.0000 0.0006 1
Sm1 0.1474 0.5000 0.6637 1
Dy1 0.0190 0.0000 0.3317 1
Dy2 0.1848 0.5000 0.3346 1
Er1 0.0000 0.5000 0.0000 1
```

- DFT total energy (eV per cell) = -83.762
- energy of formation from the pure elements (eV/f.u.) = 0.03